A geometry-optimized Pm2Pr2Er5 structure, computed with PBE.

a b c (Å): 3.6216 9.5332 9.6347
angles (deg): 73.35 112.09 100.92
With the nearest neighbours (Å) after each atom.
Element x y z (fractional)
Er  0.2619  0.1878  0.6688  1 Pm 3.48, 7 Er 3.54-3.62, 4 Pr 3.57-3.65
Pr  0.5897  0.8496  0.6654  3 Pr 3.57-3.62, 7 Er 3.57-3.65, 2 Pm 3.62
Er  0.9211  0.5174  0.6626  7 Er 3.50-3.62, 3 Pm 3.53-3.66, 2 Pr 3.60
Er  0.0789  0.4826  0.3374  7 Er 3.50-3.62, 3 Pm 3.53-3.66, 2 Pr 3.60
Pr  0.4103  0.1504  0.3346  3 Pr 3.57-3.62, 7 Er 3.57-3.65, 2 Pm 3.62
Er  0.7381  0.8122  0.3312  1 Pm 3.48, 7 Er 3.54-3.62, 4 Pr 3.57-3.65
Pm  0.6603  0.3349  0.9922  6 Er 3.48-3.66, 4 Pm 3.61-3.62, 2 Pr 3.62
Pm  0.3397  0.6651  0.0078  6 Er 3.48-3.66, 4 Pm 3.61-3.62, 2 Pr 3.62
Er  0.0000  0.0000  0.0000  6 Er 3.56-3.62, 2 Pr 3.59, 4 Pm 3.60-3.61

Results
The volume comes out at 32.7 Å³ per atom. The value obtained for the energy relative to the elements is 0.01 eV per atom. For the raw total energy, the calculation gives -41.815 eV/cell. Its space-group type is P-1 (2). Its energy above the most stable polymorph in this dataset is 0 meV/atom.

A geometry-optimized Pm6PrEr12 structure, computed with PBE.

a b c (Å): 8.6213 8.6213 8.6213
angles (deg): 79.75 79.75 79.75
With the nearest neighbours (Å) after each atom.
Element x y z (fractional)
Pm  0.2307  0.8349  0.2306  1 Pr 3.05, 3 Er 3.31-3.37
Er  0.8623  0.5195  0.8624  7 Er 3.46-3.79, 5 Pm 3.55-3.67
Er  0.4845  0.4845  0.8035  3 Pm 3.31-3.37, 5 Er 3.46-3.53
Er  0.5195  0.8624  0.8623  7 Er 3.46-3.79, 5 Pm 3.55-3.67
Pm  0.2306  0.2307  0.8349  1 Pr 3.05, 3 Er 3.31-3.37
Er  0.8624  0.8623  0.5195  7 Er 3.46-3.79, 5 Pm 3.55-3.67
Er  0.4805  0.1376  0.1377  7 Er 3.46-3.79, 5 Pm 3.55-3.67
Pm  0.7693  0.1651  0.7694  1 Pr 3.05, 3 Er 3.31-3.37
Er  0.5155  0.1965  0.5155  3 Pm 3.31-3.37, 5 Er 3.46-3.53
Er  0.1965  0.5155  0.5155  3 Pm 3.31-3.37, 5 Er 3.46-3.53
Er  0.5155  0.5155  0.1965  3 Pm 3.31-3.37, 5 Er 3.46-3.53
Er  0.4845  0.8035  0.4845  3 Pm 3.31-3.37, 5 Er 3.46-3.53
Pm  0.7694  0.7693  0.1651  1 Pr 3.05, 3 Er 3.31-3.37
Er  0.8035  0.4845  0.4845  3 Pm 3.31-3.37, 5 Er 3.46-3.53
Er  0.1376  0.1377  0.4805  7 Er 3.46-3.79, 5 Pm 3.55-3.67
Pm  0.8349  0.2306  0.2307  1 Pr 3.05, 3 Er 3.31-3.37
Pr  0.0000  0.0000  0.0000  6 Pm 3.05
Pm  0.1651  0.7694  0.7693  1 Pr 3.05, 3 Er 3.31-3.37
Er  0.1377  0.4805  0.1376  7 Er 3.46-3.79, 5 Pm 3.55-3.67

Results
The volume comes out at 32.3 Å³ per atom. The value obtained for the energy relative to the elements is 0.11 eV per atom. For the raw total energy, the calculation gives -85.857 eV/cell. Its space-group type is R-3m (166). Its energy above the most stable polymorph in this dataset is 95 meV/atom.

A geometry-optimized Pm4Pr5Er2 structure, computed with PBE.

a b c (Å): 3.5928 11.8207 9.1724
angles (deg): 93.84 101.29 90.00
With the nearest neighbours (Å) after each atom.
Element x y z (fractional)
Pm  0.9615  0.7371  0.9231  5 Pr 3.35-3.62, 4 Pm 3.59-3.72
Pm  0.3588  0.2042  0.7175  6 Pr 3.50-3.77, 4 Pm 3.59-3.72, 2 Er 3.71
Pr  0.9030  0.4622  0.8060  4 Pm 3.35-3.58, 3 Er 3.50-3.60, 3 Pr 3.54-3.59
Er  0.2840  0.6418  0.5680  5 Pr 3.50-3.82, 2 Er 3.59, 4 Pm 3.71-3.77
Pr  0.0970  0.5378  0.1940  4 Pm 3.35-3.58, 3 Er 3.50-3.60, 3 Pr 3.54-3.59
Pm  0.6412  0.7958  0.2825  6 Pr 3.50-3.77, 4 Pm 3.59-3.72, 2 Er 3.71
Pr  0.8219  0.9255  0.6438  4 Pm 3.47-3.77, 6 Pr 3.59-3.73, 2 Er 3.82
Pm  0.0385  0.2629  0.0769  5 Pr 3.35-3.62, 4 Pm 3.59-3.72
Pr  0.1781  0.0745  0.3562  4 Pm 3.47-3.77, 6 Pr 3.59-3.73, 2 Er 3.82
Er  0.7160  0.3582  0.4320  5 Pr 3.50-3.82, 2 Er 3.59, 4 Pm 3.71-3.77
Pr  0.5000  0.0000  0.0000  6 Pr 3.59-3.73, 6 Pm 3.62

Results
The volume comes out at 34.6 Å³ per atom. The value obtained for the energy relative to the elements is 0.08 eV per atom. For the raw total energy, the calculation gives -51.187 eV/cell. Its space-group type is C2/m (12). Its energy above the most stable polymorph in this dataset is 0 meV/atom.

A geometry-optimized PmPr4Er structure, computed with PBE.

a b c (Å): 3.5083 6.2201 10.3630
angles (deg): 88.20 80.25 73.62
With the nearest neighbours (Å) after each atom.
Element x y z (fractional)
Er  0.0000  0.0000  0.0000  8 Pr 3.50-3.67, 2 Er 3.51
Pr  0.3438  0.4665  0.8458  7 Pr 3.51-3.90, 3 Er 3.53-3.67, 1 Pm 3.54
Pr  0.8445  0.9692  0.3417  1 Er 3.50, 7 Pr 3.51-3.90, 3 Pm 3.53-3.70
Pr  0.1555  0.0308  0.6583  1 Er 3.50, 7 Pr 3.51-3.90, 3 Pm 3.53-3.70
Pm  0.5000  0.5000  0.5000  2 Pm 3.51, 8 Pr 3.53-3.70
Pr  0.6562  0.5335  0.1542  7 Pr 3.51-3.90, 3 Er 3.53-3.67, 1 Pm 3.54

Results
The volume comes out at 35.6 Å³ per atom. The value obtained for the energy relative to the elements is 0.17 eV per atom. For the raw total energy, the calculation gives -27.398 eV/cell. Its space-group type is C2/m (12). Its energy above the most stable polymorph in this dataset is 154 meV/atom.

A geometry-optimized Pm2PrEr9 structure, computed with PBE.

a b c (Å): 3.5131 11.2161 11.2161
angles (deg): 120.00 90.00 90.00
With the nearest neighbours (Å) after each atom.
Element x y z (fractional)
Er  0.5000  0.8233  0.6466  8 Er 3.43-3.60, 2 Pm 3.51
Pr  0.0000  0.0000  0.0000  2 Pr 3.51, 12 Er 3.86
Er  0.0000  0.0000  0.5000  2 Pm 3.24, 10 Er 3.51-3.60
Er  0.5000  0.8233  0.1767  8 Er 3.43-3.60, 2 Pm 3.51
Er  0.5000  0.1767  0.8233  8 Er 3.43-3.60, 2 Pm 3.51
Er  0.5000  0.6466  0.8233  8 Er 3.43-3.60, 2 Pm 3.51
Er  0.5000  0.1767  0.3534  8 Er 3.43-3.60, 2 Pm 3.51
Er  0.5000  0.3534  0.1767  8 Er 3.43-3.60, 2 Pm 3.51
Pm  0.0000  0.6667  0.3333  9 Er 3.24-3.51, 2 Pm 3.51
Er  0.0000  0.5000  0.5000  2 Pm 3.24, 10 Er 3.51-3.60
Pm  0.0000  0.3333  0.6667  9 Er 3.24-3.51, 2 Pm 3.51
Er  0.0000  0.5000  0.0000  2 Pm 3.24, 10 Er 3.51-3.60

Results
The volume comes out at 31.9 Å³ per atom. The value obtained for the energy relative to the elements is 0.06 eV per atom. For the raw total energy, the calculation gives -54.678 eV/cell. Its space-group type is P6/mmm (191). Its energy above the most stable polymorph in this dataset is 31 meV/atom.

A geometry-optimized Pm2Pr8Er structure, computed with PBE.

a b c (Å): 6.8471 10.3933 10.3933
angles (deg): 38.93 60.00 60.00
With the nearest neighbours (Å) after each atom.
Element x y z (fractional)
Pr  0.7678  0.1775  0.6518  5 Pr 3.29-3.64, 1 Er 3.39, 1 Pm 3.51
Pr  0.2322  0.8225  0.3482  5 Pr 3.29-3.64, 1 Er 3.39, 1 Pm 3.51
Pm  0.4210  0.1931  0.1931  7 Pr 3.43-3.78, 1 Er 3.76
Pr  0.2695  0.4061  0.4061  8 Pr 3.46-3.87, 1 Pm 3.73
Pr  0.2322  0.3482  0.8225  5 Pr 3.29-3.64, 1 Er 3.39, 1 Pm 3.51
Pr  0.8314  0.2433  0.2433  5 Pr 3.38-3.55, 4 Pm 3.43-3.78
Pr  0.1686  0.7567  0.7567  5 Pr 3.38-3.55, 4 Pm 3.43-3.78
Pr  0.7305  0.5939  0.5939  8 Pr 3.46-3.87, 1 Pm 3.73
Er  0.0000  0.0000  0.0000  4 Pr 3.39, 2 Pm 3.76
Pr  0.7678  0.6518  0.1775  5 Pr 3.29-3.64, 1 Er 3.39, 1 Pm 3.51
Pm  0.5790  0.8069  0.8069  7 Pr 3.43-3.78, 1 Er 3.76

Results
The volume comes out at 35.8 Å³ per atom. The value obtained for the energy relative to the elements is 0.15 eV per atom. For the raw total energy, the calculation gives -50.618 eV/cell. Its space-group type is C2/m (12). Its energy above the most stable polymorph in this dataset is 45 meV/atom.